(1)
Material: TlCo2AgSn
Method: DFT, PBE
State: relaxed

abc: 4.792 5.722 4.792
angles: 90.00 90.00 90.00
Site moments in Bohr magnetons follow the coordinates.
Fractional positions:
Tl 0.000 0.500 0.000  -0.01
Co 0.000 0.000 0.500  1.51
Co 0.500 0.000 0.000  1.74
Sn 0.000 0.000 0.000  -0.08
Ag 0.500 0.500 0.500  -0.01

Results
Formation energy ... 1172 meV/atom
Space group ... P4/mmm (123)



(2)
Material: CoAg2SnW
Method: DFT, PBE
State: relaxed

abc: 5.102 5.168 5.102
angles: 90.00 90.00 90.00
Site moments in Bohr magnetons follow the coordinates.
Fractional positions:
Ag 0.000 0.000 0.500  0.00
Ag 0.500 0.000 0.000  0.01
Co 0.500 0.500 0.500  2.10
Sn 0.000 0.500 0.000  -0.04
W 0.000 0.000 0.000  0.05

Results
Formation energy ... 1837 meV/atom
Space group ... P4/mmm (123)



(3)
Material: YCo2AgSn
Method: DFT, PBE
State: relaxed

abc: 4.753 5.678 4.753
angles: 90.00 90.00 90.00
Site moments in Bohr magnetons follow the coordinates.
Fractional positions:
Y 0.000 0.500 0.000  0.03
Co 0.000 0.000 0.500  1.54
Co 0.500 0.000 0.000  1.90
Sn 0.000 0.000 0.000  -0.02
Ag 0.500 0.500 0.500  0.02

Results
Formation energy ... 913 meV/atom
Space group ... P4/mmm (123)



(4)
Material: SrCoAg2
Method: DFT, PBE
State: relaxed

abc: 4.955 4.955 4.955
angles: 60.00 60.00 60.00
Site moments in Bohr magnetons follow the coordinates.
Fractional positions:
Ag 0.000 0.000 0.000  0.01
Ag 0.250 0.250 0.250  0.00
Co 0.500 0.500 0.500  1.74
Sr 0.750 0.750 0.750  -0.02

Results
Formation energy ... 388 meV/atom
Excess energy over the best structure of this formula in the dataset ... 0.217 eV per atom
Space group ... F-43m (216)



(5)
Material: SrCo2Ag
Method: DFT, PBE
State: relaxed

abc: 3.480 3.480 6.595
angles: 90.00 90.00 90.00
Site moments in Bohr magnetons follow the coordinates.
Fractional positions:
Ag 0.500 0.500 0.750  -0.01
Co 0.000 0.000 0.918  1.78
Co 0.000 0.000 0.582  1.78
Sr 0.500 0.500 0.250  -0.06

Results
Formation energy ... 579 meV/atom
Space group ... P4/mmm (123)



(6)
Material: SrCo2Ag
Method: DFT, PBE
State: relaxed

abc: 4.150 4.152 4.270
angles: 90.00 90.00 90.00
Site moments in Bohr magnetons follow the coordinates.
Fractional positions:
Ag 0.000 0.500 0.500  -0.04
Co 0.000 0.000 0.000  1.46
Co 0.500 0.500 0.000  1.46
Sr 0.500 0.000 0.500  -0.08

Results
Formation energy ... 671 meV/atom
Space group ... P4/mmm (123)



(7)
Material: Sr3CoAg
Method: DFT, PBE
State: relaxed

abc: 5.612 5.612 5.612
angles: 90.00 90.00 90.00
Fractional positions:
Sr 0.000 0.500 0.000
Sr 0.000 0.000 0.500
Sr 0.500 0.000 0.000
Co 0.000 0.000 0.000
Ag 0.500 0.500 0.500

Results
Formation energy ... 244 meV/atom
Excess energy over the best structure of this formula in the dataset ... 0.000 eV per atom
Space group ... Pm-3m (221)



(8)
Material: SrCoAg3
Method: DFT, PBE
State: relaxed

abc: 4.941 4.941 4.941
angles: 90.00 90.00 90.00
Site moments in Bohr magnetons follow the coordinates.
Fractional positions:
Sr 0.500 0.500 0.500  -0.02
Co 0.000 0.000 0.000  1.56
Ag 0.000 0.500 0.000  0.01
Ag 0.000 0.000 0.500  0.03
Ag 0.500 0.000 0.000  -0.01

Results
Formation energy ... 289 meV/atom
Excess energy over the best structure of this formula in the dataset ... 0.000 eV per atom
Space group ... Pm-3m (221)



(9)
Material: SrCoAg2
Method: DFT, PBE
State: relaxed

abc: 3.296 3.645 7.022
angles: 90.00 90.00 90.00
Site moments in Bohr magnetons follow the coordinates.
Fractional positions:
Ag 0.000 0.000 0.057  0.00
Ag 0.000 0.000 0.443  0.00
Co 0.500 0.500 0.250  1.82
Sr 0.500 0.500 0.750  0.01

Results
Formation energy ... 318 meV/atom
Excess energy over the best structure of this formula in the dataset ... 0.147 eV per atom
Space group ... Pmmm (47)



(10)
Material: Sr4CoAg
Method: DFT, PBE
State: relaxed

abc: 7.071 7.071 7.071
angles: 60.00 60.00 60.00
Site moments in Bohr magnetons follow the coordinates.
Fractional positions:
Sr 0.876 0.375 0.375  -0.07
Sr 0.375 0.375 0.876  -0.07
Sr 0.375 0.876 0.375  -0.07
Sr 0.375 0.375 0.375  -0.07
Co 0.000 0.000 0.000  2.04
Ag 0.750 0.750 0.750  0.00

Results
Formation energy ... 960 meV/atom
Space group ... F-43m (216)



(11)
Material: SrCo2Ag2
Method: DFT, PBE
State: relaxed

abc: 4.323 4.323 6.124
angles: 69.33 69.33 90.00
Site moments in Bohr magnetons follow the coordinates.
Fractional positions:
Sr 0.000 0.000 0.000  -0.06
Co 0.399 0.399 0.201  1.65
Co 0.601 0.601 0.799  1.65
Ag 0.750 0.250 0.500  0.01
Ag 0.250 0.750 0.500  0.01

Results
Formation energy ... 280 meV/atom
Excess energy over the best structure of this formula in the dataset ... 0.000 eV per atom
Space group ... I4/mmm (139)



(12)
Material: SrCoAg2
Method: DFT, PBE
State: relaxed

abc: 4.287 4.291 4.454
angles: 90.00 90.00 90.00
Site moments in Bohr magnetons follow the coordinates.
Fractional positions:
Ag 0.000 0.000 0.000  -0.04
Ag 0.500 0.500 0.000  -0.04
Co 0.500 0.000 0.500  1.03
Sr 0.000 0.500 0.500  -0.06

Results
Formation energy ... 369 meV/atom
Excess energy over the best structure of this formula in the dataset ... 0.198 eV per atom
Space group ... P4/mmm (123)